Entry 1:
# TbTm4Sc2 PBE relaxed
data_TbTm4Sc2
_symmetry_space_group_name_H-M 'P 1'
_symmetry_Int_Tables_number 1
_cell_length_a 5.824
_cell_length_b 8.112
_cell_length_c 9.212
_cell_angle_alpha 89.17
_cell_angle_beta 77.35
_cell_angle_gamma 73.05
loop_
_symmetry_equiv_pos_as_xyz
'x,y,z'
loop_
_atom_site_label
_atom_site_type_symbol
_atom_site_fract_x
_atom_site_fract_y
_atom_site_fract_z
_atom_site_occupancy
Tb1 Tb 0.000 0.000 0.000 1
Tb2 Tb 0.441 0.212 0.951 1
Tm1 Tm 0.083 0.576 0.172 1
Tm2 Tm 0.260 0.059 0.640 1
Tm3 Tm 0.528 0.796 0.110 1
Tm4 Tm 0.651 0.355 0.233 1
Tm5 Tm 0.690 0.292 0.593 1
Tm6 Tm 0.805 0.834 0.721 1
Tm7 Tm 0.808 0.953 0.365 1
Tm8 Tm 0.901 0.430 0.871 1
Sc1 Sc 0.139 0.482 0.515 1
Sc2 Sc 0.208 0.165 0.303 1
Sc3 Sc 0.346 0.631 0.811 1
Sc4 Sc 0.546 0.679 0.464 1
# energy: -69.20 eV/cell
# DFT formation energy: 0.08 eV per atom
# E above lowest polymorph: 0 meV per atom

=====

Entry 2:
# Tb5TmSc PBE relaxed
data_Tb5TmSc
_symmetry_space_group_name_H-M 'I m m 2'
_symmetry_Int_Tables_number 44
_cell_length_a 6.504
_cell_length_b 6.567
_cell_length_c 10.173
_cell_angle_alpha 90.00
_cell_angle_beta 90.00
_cell_angle_gamma 90.00
loop_
_symmetry_equiv_pos_as_xyz
'x,y,z'
'-x,-y,z'
'-x,y,z'
'x,-y,z'
'x+1/2,y+1/2,z+1/2'
'-x+1/2,-y+1/2,z+1/2'
'-x+1/2,y+1/2,z+1/2'
'x+1/2,-y+1/2,z+1/2'
loop_
_atom_site_label
_atom_site_type_symbol
_atom_site_fract_x
_atom_site_fract_y
_atom_site_fract_z
_atom_site_occupancy
Tb1 Tb 0.000 0.000 0.000 1
Tb2 Tb 0.000 0.275 0.260 1
Tb3 Tb 0.228 0.500 0.956 1
Tm1 Tm 0.000 0.500 0.613 1
Sc1 Sc 0.000 0.000 0.706 1
# energy: -64.34 eV/cell
# DFT formation energy: 0.26 eV per atom
# E above lowest polymorph: 224 meV per atom

=====

Entry 3:
# Tb2TmSc2 PBE relaxed
data_Tb2TmSc2
_symmetry_space_group_name_H-M 'A m m 2'
_symmetry_Int_Tables_number 38
_cell_length_a 3.366
_cell_length_b 5.505
_cell_length_c 15.778
_cell_angle_alpha 90.00
_cell_angle_beta 90.00
_cell_angle_gamma 90.00
loop_
_symmetry_equiv_pos_as_xyz
'x,y,z'
'-x,-y,z'
'-x,y,z'
'x,-y,z'
'x,y+1/2,z+1/2'
'-x,-y+1/2,z+1/2'
'-x,y+1/2,z+1/2'
'x,-y+1/2,z+1/2'
loop_
_atom_site_label
_atom_site_type_symbol
_atom_site_fract_x
_atom_site_fract_y
_atom_site_fract_z
_atom_site_occupancy
Tb1 Tb 0.000 0.000 0.000 1
Tb2 Tb 0.500 0.000 0.199 1
Tm1 Tm 0.000 0.000 0.626 1
Sc1 Sc 0.000 0.000 0.384 1
Sc2 Sc 0.500 0.000 0.814 1
# energy: -51.22 eV/cell
# DFT formation energy: 0.16 eV per atom
# E above lowest polymorph: 0 meV per atom

=====

Entry 4:
# Tb4TmSc PBE relaxed
data_Tb4TmSc
_symmetry_space_group_name_H-M 'C 1 2/m 1'
_symmetry_Int_Tables_number 12
_cell_length_a 11.045
_cell_length_b 4.945
_cell_length_c 7.005
_cell_angle_alpha 90.00
_cell_angle_beta 108.42
_cell_angle_gamma 90.00
loop_
_symmetry_equiv_pos_as_xyz
'x,y,z'
'-x,-y,-z'
'-x,y,-z'
'x,-y,z'
'x+1/2,y+1/2,z'
'-x+1/2,-y+1/2,-z'
'-x+1/2,y+1/2,-z'
'x+1/2,-y+1/2,z'
loop_
_atom_site_label
_atom_site_type_symbol
_atom_site_fract_x
_atom_site_fract_y
_atom_site_fract_z
_atom_site_occupancy
Tb1 Tb 0.164 0.000 0.330 1
Tb2 Tb 0.167 0.000 0.835 1
Tm1 Tm 0.000 0.500 0.500 1
Sc1 Sc 0.000 0.500 0.000 1
# energy: -58.25 eV/cell
# DFT formation energy: 0.03 eV per atom

=====

Entry 5:
# Tb3TmSc2 PBE relaxed
data_Tb3TmSc2
_symmetry_space_group_name_H-M 'C m c m'
_symmetry_Int_Tables_number 63
_symmetry_space_group_name_Hall '-C 2c 2'
_cell_length_a 14.340
_cell_length_b 9.637
_cell_length_c 5.433
_cell_angle_alpha 90.00
_cell_angle_beta 90.00
_cell_angle_gamma 90.00
loop_
_atom_site_label
_atom_site_type_symbol
_atom_site_fract_x
_atom_site_fract_y
_atom_site_fract_z
_atom_site_occupancy
Tb1 Tb 0.000 0.093 0.250 1
Tb2 Tb 0.245 0.132 0.250 1
Tm1 Tm 0.000 0.280 0.750 1
Sc1 Sc 0.105 0.405 0.250 1
# energy: -117.04 eV/cell
# DFT formation energy: 0.29 eV per atom
# E above lowest polymorph: 144 meV per atom

=====

Entry 6:
# TbTmSc6 PBE relaxed
data_TbTmSc6
_symmetry_space_group_name_H-M 'C m m m'
_symmetry_Int_Tables_number 65
_symmetry_space_group_name_Hall '-C 2 2'
_cell_length_a 9.413
_cell_length_b 9.424
_cell_length_c 4.691
_cell_angle_alpha 90.00
_cell_angle_beta 90.00
_cell_angle_gamma 90.00
loop_
_atom_site_label
_atom_site_type_symbol
_atom_site_fract_x
_atom_site_fract_y
_atom_site_fract_z
_atom_site_occupancy
Tb1 Tb 0.000 0.000 0.000 1
Tm1 Tm 0.000 0.500 0.000 1
Sc1 Sc 0.000 0.251 0.500 1
Sc2 Sc 0.249 0.500 0.500 1
Sc3 Sc 0.250 0.250 0.000 1
# energy: -93.27 eV/cell
# DFT formation energy: 0.06 eV per atom
# E above lowest polymorph: 40 meV per atom

=====

Entry 7:
# Tb5Tm4Sc2 PBE relaxed
data_Tb5Tm4Sc2
_symmetry_space_group_name_H-M 'P 1 2/m 1'
_symmetry_Int_Tables_number 10
_cell_length_a 8.602
_cell_length_b 3.463
_cell_length_c 11.226
_cell_angle_alpha 90.00
_cell_angle_beta 93.88
_cell_angle_gamma 90.00
loop_
_symmetry_equiv_pos_as_xyz
'x,y,z'
'-x,-y,-z'
'-x,y,-z'
'x,-y,z'
loop_
_atom_site_label
_atom_site_type_symbol
_atom_site_fract_x
_atom_site_fract_y
_atom_site_fract_z
_atom_site_occupancy
Tb1 Tb 0.000 0.000 0.000 1
Tb2 Tb 0.070 0.000 0.303 1
Tb3 Tb 0.311 0.000 0.837 1
Tm1 Tm 0.231 0.500 0.555 1
Tm2 Tm 0.337 0.500 0.119 1
Sc1 Sc 0.442 0.000 0.367 1
# energy: -52.73 eV/cell
# DFT formation energy: 0.09 eV per atom
# E above lowest polymorph: 0 meV per atom

=====

Entry 8:
# Tb8Tm3Sc PBE relaxed
data_Tb8Tm3Sc
_symmetry_space_group_name_H-M 'I 4/m m m'
_symmetry_Int_Tables_number 139
_symmetry_space_group_name_Hall '-I 4 2'
_cell_length_a 7.602
_cell_length_b 7.602
_cell_length_c 15.203
_cell_angle_alpha 90.00
_cell_angle_beta 90.00
_cell_angle_gamma 90.00
loop_
_atom_site_label
_atom_site_type_symbol
_atom_site_fract_x
_atom_site_fract_y
_atom_site_fract_z
_atom_site_occupancy
Tb1 Tb 0.247 0.247 0.123 1
Tm1 Tm 0.000 0.000 0.500 1
Tm2 Tm 0.000 0.500 0.250 1
Sc1 Sc 0.000 0.000 0.000 1
# energy: -96.54 eV/cell
# DFT formation energy: 0.71 eV per atom

=====

Entry 9:
# Tb8Tm5Sc PBE relaxed
data_Tb8Tm5Sc
_symmetry_space_group_name_H-M 'I -4'
_symmetry_Int_Tables_number 82
_cell_length_a 9.470
_cell_length_b 9.470
_cell_length_c 9.987
_cell_angle_alpha 90.00
_cell_angle_beta 90.00
_cell_angle_gamma 90.00
loop_
_symmetry_equiv_pos_as_xyz
'x,y,z'
'y,-x,-z'
'-x,-y,z'
'-y,x,-z'
'x+1/2,y+1/2,z+1/2'
'y+1/2,-x+1/2,-z+1/2'
'-x+1/2,-y+1/2,z+1/2'
'-y+1/2,x+1/2,-z+1/2'
loop_
_atom_site_label
_atom_site_type_symbol
_atom_site_fract_x
_atom_site_fract_y
_atom_site_fract_z
_atom_site_occupancy
Tb1 Tb 0.068 0.174 0.342 1
Tb2 Tb 0.088 0.320 0.004 1
Tm1 Tm 0.000 0.500 0.250 1
Tm2 Tm 0.107 0.293 0.674 1
Sc1 Sc 0.000 0.000 0.000 1
# energy: -124.01 eV/cell
# DFT formation energy: 0.27 eV per atom

=====

Entry 10:
# TbTm12Sc7 PBE relaxed
data_TbTm12Sc7
_symmetry_space_group_name_H-M 'I m -3'
_symmetry_Int_Tables_number 204
_symmetry_space_group_name_Hall '-I 2 2 3'
_cell_length_a 10.821
_cell_length_b 10.821
_cell_length_c 10.821
_cell_angle_alpha 90.00
_cell_angle_beta 90.00
_cell_angle_gamma 90.00
loop_
_atom_site_label
_atom_site_type_symbol
_atom_site_fract_x
_atom_site_fract_y
_atom_site_fract_z
_atom_site_occupancy
Tb1 Tb 0.000 0.000 0.000 1
Tm1 Tm 0.000 0.259 0.260 1
Sc1 Sc 0.000 0.000 0.500 1
Sc2 Sc 0.250 0.250 0.250 1
# energy: -177.25 eV/cell
# DFT formation energy: 0.70 eV per atom
# E above lowest polymorph: 423 meV per atom

=====

Entry 11:
# Tb2Tm9Sc PBE relaxed
data_Tb2Tm9Sc
_symmetry_space_group_name_H-M 'P 4/m m m'
_symmetry_Int_Tables_number 123
_symmetry_space_group_name_Hall '-P 4 2'
_cell_length_a 4.928
_cell_length_b 4.928
_cell_length_c 14.759
_cell_angle_alpha 90.00
_cell_angle_beta 90.00
_cell_angle_gamma 90.00
loop_
_atom_site_label
_atom_site_type_symbol
_atom_site_fract_x
_atom_site_fract_y
_atom_site_fract_z
_atom_site_occupancy
Tb1 Tb 0.000 0.000 0.168 1
Tm1 Tm 0.000 0.500 0.000 1
Tm2 Tm 0.000 0.500 0.338 1
Tm3 Tm 0.500 0.500 0.169 1
Tm4 Tm 0.500 0.500 0.500 1
Sc1 Sc 0.000 0.000 0.500 1
# energy: -55.44 eV/cell
# DFT formation energy: 0.03 eV per atom

=====

Entry 12:
# Tb7Tm4Sc PBE relaxed
data_Tb7Tm4Sc
_symmetry_space_group_name_H-M 'C 1 2/m 1'
_symmetry_Int_Tables_number 12
_cell_length_a 15.902
_cell_length_b 5.781
_cell_length_c 9.203
_cell_angle_alpha 90.00
_cell_angle_beta 116.82
_cell_angle_gamma 90.00
loop_
_symmetry_equiv_pos_as_xyz
'x,y,z'
'-x,-y,-z'
'-x,y,-z'
'x,-y,z'
'x+1/2,y+1/2,z'
'-x+1/2,-y+1/2,-z'
'-x+1/2,y+1/2,-z'
'x+1/2,-y+1/2,z'
loop_
_atom_site_label
_atom_site_type_symbol
_atom_site_fract_x
_atom_site_fract_y
_atom_site_fract_z
_atom_site_occupancy
Tb1 Tb 0.000 0.000 0.000 1
Tb2 Tb 0.077 0.500 0.431 1
Tb3 Tb 0.203 0.500 0.223 1
Tb4 Tb 0.212 0.500 0.874 1
Tm1 Tm 0.075 0.000 0.698 1
Tm2 Tm 0.175 0.000 0.393 1
Sc1 Sc 0.000 0.500 0.000 1
# energy: -107.74 eV/cell
# DFT formation energy: 0.23 eV per atom
# E above lowest polymorph: 83 meV per atom

=====

Entry 13:
# Tb3Tm8Sc2 PBE relaxed
data_Tb3Tm8Sc2
_symmetry_space_group_name_H-M 'C 1 2/m 1'
_symmetry_Int_Tables_number 12
_cell_length_a 14.505
_cell_length_b 8.985
_cell_length_c 6.633
_cell_angle_alpha 90.00
_cell_angle_beta 109.17
_cell_angle_gamma 90.00
loop_
_symmetry_equiv_pos_as_xyz
'x,y,z'
'-x,-y,-z'
'-x,y,-z'
'x,-y,z'
'x+1/2,y+1/2,z'
'-x+1/2,-y+1/2,-z'
'-x+1/2,y+1/2,-z'
'x+1/2,-y+1/2,z'
loop_
_atom_site_label
_atom_site_type_symbol
_atom_site_fract_x
_atom_site_fract_y
_atom_site_fract_z
_atom_site_occupancy
Tb1 Tb 0.000 0.000 0.000 1
Tb2 Tb 0.000 0.172 0.500 1
Tm1 Tm 0.089 0.500 0.724 1
Tm2 Tm 0.120 0.319 0.190 1
Tm3 Tm 0.191 0.000 0.897 1
Sc1 Sc 0.207 0.000 0.424 1
# energy: -118.34 eV/cell
# DFT formation energy: 0.24 eV per atom
# E above lowest polymorph: 0 meV per atom

=====

Entry 14:
# TbTmSc2 PBE relaxed
data_TbTmSc2
_symmetry_space_group_name_H-M 'P 4/m m m'
_symmetry_Int_Tables_number 123
_symmetry_space_group_name_Hall '-P 4 2'
_cell_length_a 3.846
_cell_length_b 3.846
_cell_length_c 7.474
_cell_angle_alpha 90.00
_cell_angle_beta 90.00
_cell_angle_gamma 90.00
loop_
_atom_site_label
_atom_site_type_symbol
_atom_site_fract_x
_atom_site_fract_y
_atom_site_fract_z
_atom_site_occupancy
Tb1 Tb 0.000 0.000 0.000 1
Tm1 Tm 0.000 0.000 0.500 1
Sc1 Sc 0.500 0.500 0.255 1
# energy: -21.41 eV/cell
# DFT formation energy: 0.09 eV per atom
# E above lowest polymorph: 37 meV per atom

=====

Entry 15:
# TbTm6Sc4 PBE relaxed
data_TbTm6Sc4
_symmetry_space_group_name_H-M 'I -4 2 m'
_symmetry_Int_Tables_number 121
_symmetry_space_group_name_Hall 'I -4 2'
_cell_length_a 6.266
_cell_length_b 6.266
_cell_length_c 16.713
_cell_angle_alpha 90.00
_cell_angle_beta 90.00
_cell_angle_gamma 90.00
loop_
_atom_site_label
_atom_site_type_symbol
_atom_site_fract_x
_atom_site_fract_y
_atom_site_fract_z
_atom_site_occupancy
Tb1 Tb 0.000 0.000 0.000 1
Tm1 Tm 0.000 0.500 0.000 1
Tm2 Tm 0.183 0.183 0.355 1
Sc1 Sc 0.181 0.181 0.165 1
# energy: -106.12 eV/cell
# DFT formation energy: 0.34 eV per atom
# E above lowest polymorph: 15 meV per atom

=====

Entry 16:
# Tb4Tm2Sc5 PBE relaxed
data_Tb4Tm2Sc5
_symmetry_space_group_name_H-M 'C 1 2/m 1'
_symmetry_Int_Tables_number 12
_cell_length_a 17.380
_cell_length_b 4.842
_cell_length_c 7.579
_cell_angle_alpha 90.00
_cell_angle_beta 104.54
_cell_angle_gamma 90.00
loop_
_symmetry_equiv_pos_as_xyz
'x,y,z'
'-x,-y,-z'
'-x,y,-z'
'x,-y,z'
'x+1/2,y+1/2,z'
'-x+1/2,-y+1/2,-z'
'-x+1/2,y+1/2,-z'
'x+1/2,-y+1/2,z'
loop_
_atom_site_label
_atom_site_type_symbol
_atom_site_fract_x
_atom_site_fract_y
_atom_site_fract_z
_atom_site_occupancy
Tb1 Tb 0.045 0.000 0.235 1
Tb2 Tb 0.182 0.500 0.414 1
Tm1 Tm 0.093 0.500 0.949 1
Sc1 Sc 0.000 0.500 0.500 1
Sc2 Sc 0.139 0.000 0.689 1
Sc3 Sc 0.227 0.000 0.129 1
# energy: -117.11 eV/cell
# DFT formation energy: 0.05 eV per atom
# E above lowest polymorph: 0 meV per atom

=====

Entry 17:
# Tb5TmSc5 PBE relaxed
data_Tb5TmSc5
_symmetry_space_group_name_H-M 'P -6 m 2'
_symmetry_Int_Tables_number 187
_symmetry_space_group_name_Hall 'P -6 2'
_cell_length_a 5.7804
_cell_length_b 5.7804
_cell_length_c 11.3051
_cell_angle_alpha 90.00
_cell_angle_beta 90.00
_cell_angle_gamma 120.00
loop_
_atom_site_label
_atom_site_type_symbol
_atom_site_fract_x
_atom_site_fract_y
_atom_site_fract_z
_atom_site_occupancy
Tb1 Tb 0.0000 0.0000 0.0000 1
Tb2 Tb 0.3333 0.6667 0.3176 1
Tb3 Tb 0.6667 0.3333 0.1585 1
Tm1 Tm 0.3333 0.6667 0.0000 1
Sc1 Sc 0.0000 0.0000 0.2694 1
Sc2 Sc 0.3288 0.1644 0.5000 1
# energy: -56.63 eV/cell
# DFT formation energy: 0.24 eV per atom

=====

Entry 18:
# Tb12TmSc2 PBE relaxed
data_Tb12TmSc2
_symmetry_space_group_name_H-M 'C m m m'
_symmetry_Int_Tables_number 65
_symmetry_space_group_name_Hall '-C 2 2'
_cell_length_a 3.590
_cell_length_b 46.240
_cell_length_c 5.630
_cell_angle_alpha 90.00
_cell_angle_beta 90.00
_cell_angle_gamma 90.00
loop_
_atom_site_label
_atom_site_type_symbol
_atom_site_fract_x
_atom_site_fract_y
_atom_site_fract_z
_atom_site_occupancy
Tb1 Tb 0.000 0.033 0.000 1
Tb2 Tb 0.000 0.075 0.500 1
Tb3 Tb 0.000 0.160 0.000 1
Tb4 Tb 0.000 0.211 0.500 1
Tb5 Tb 0.000 0.279 0.000 1
Tb6 Tb 0.000 0.403 0.000 1
Tm1 Tm 0.000 0.500 0.500 1
Sc1 Sc 0.000 0.358 0.500 1
# energy: -142.50 eV/cell
# DFT formation energy: 0.10 eV per atom

=====

Entry 19:
# Tb3Tm5Sc2 PBE relaxed
data_Tb3Tm5Sc2
_symmetry_space_group_name_H-M 'I b a m'
_symmetry_Int_Tables_number 72
_symmetry_space_group_name_Hall '-I 2 2c'
_cell_length_a 12.605
_cell_length_b 16.231
_cell_length_c 6.161
_cell_angle_alpha 90.00
_cell_angle_beta 90.00
_cell_angle_gamma 90.00
loop_
_atom_site_label
_atom_site_type_symbol
_atom_site_fract_x
_atom_site_fract_y
_atom_site_fract_z
_atom_site_occupancy
Tb1 Tb 0.000 0.000 0.250 1
Tb2 Tb 0.157 0.244 0.000 1
Tm1 Tm 0.000 0.500 0.250 1
Tm2 Tm 0.098 0.341 0.500 1
Tm3 Tm 0.250 0.000 0.250 1
Sc1 Sc 0.101 0.155 0.500 1
# energy: -180.98 eV/cell
# DFT formation energy: 0.37 eV per atom
# E above lowest polymorph: 327 meV per atom

=====

Entry 20:
# Tb2Tm6Sc PBE relaxed
data_Tb2Tm6Sc
_symmetry_space_group_name_H-M 'C 1 2/m 1'
_symmetry_Int_Tables_number 12
_cell_length_a 18.070
_cell_length_b 3.478
_cell_length_c 10.444
_cell_angle_alpha 90.00
_cell_angle_beta 125.28
_cell_angle_gamma 90.00
loop_
_symmetry_equiv_pos_as_xyz
'x,y,z'
'-x,-y,-z'
'-x,y,-z'
'x,-y,z'
'x+1/2,y+1/2,z'
'-x+1/2,-y+1/2,-z'
'-x+1/2,y+1/2,-z'
'x+1/2,-y+1/2,z'
loop_
_atom_site_label
_atom_site_type_symbol
_atom_site_fract_x
_atom_site_fract_y
_atom_site_fract_z
_atom_site_occupancy
Tb1 Tb 0.164 0.000 0.000 1
Tm1 Tm 0.055 0.000 0.329 1
Tm2 Tm 0.111 0.500 0.665 1
Tm3 Tm 0.222 0.500 0.334 1
Sc1 Sc 0.000 0.500 0.000 1
# energy: -84.24 eV/cell
# DFT formation energy: 0.03 eV per atom
# E above lowest polymorph: 0 meV per atom